(1)
The following is a DFT calculation (GGA-PBE) of a geometry-optimized TaAu2Br structure.

Cell lengths 5.4598, 5.4598, 5.4598 Å; angles 136.34, 136.34, 63.45 degrees
Closest atoms and distances in Å follow each position.
Fractional positions:
Ta  0.0000  0.0000  0.0000  4 Br 2.87, 8 Au 3.08
Au  0.2500  0.7500  0.5000  4 Au 2.87, 4 Ta 3.08, 4 Br 3.08
Au  0.7500  0.2500  0.5000  4 Au 2.87, 4 Ta 3.08, 4 Br 3.08
Br  0.5000  0.5000  0.0000  4 Ta 2.87, 8 Au 3.08

Values from the calculation:
M_tot in μB/cell: 0.00
DFT total energy in eV per atom: -4.353
Formation energy from raw total energies in eV per atom: 0.67
Crystal system: tetragonal
Volume in Å³/f.u.: 77

=====

(2)
The following is a DFT calculation (GGA-PBE) of a geometry-optimized MgZr2Zn structure.

Cell lengths 3.1670, 4.1666, 6.3089 Å; angles 90.00, 90.00, 90.00 degrees
Closest atoms and distances in Å follow each position.
Fractional positions:
Mg  0.0000  0.0000  0.0000  6 Zr 3.02-3.29, 4 Zn 3.03, 2 Mg 3.17
Zr  0.0000  0.0000  0.4791  4 Zn 3.02, 2 Mg 3.02-3.29, 6 Zr 3.07-3.17
Zr  0.5000  0.5000  0.7350  6 Zr 3.07-3.17, 4 Mg 3.11, 2 Zn 3.11-3.20
Zn  0.5000  0.5000  0.2415  6 Zr 3.02-3.20, 4 Mg 3.03, 2 Zn 3.17

Values from the calculation:
M_tot in μB/cell: 0.00
DFT total energy in eV per atom: -5.005
Crystal system: orthorhombic
ΔE_f in eV/atom: -0.014
Volume in Å³/f.u.: 83

=====

(3)
The following is a DFT calculation (GGA-PBE) of a geometry-optimized PmY2Cd3 structure.

Cell lengths 3.7733, 3.7733, 11.3720 Å; angles 90.00, 90.00, 90.00 degrees
Closest atoms and distances in Å follow each position.
Fractional positions:
Pm  0.0000  0.0000  0.0000  8 Cd 3.33
Y  0.0000  0.0000  0.3357  8 Cd 3.23-3.26
Y  0.0000  0.0000  0.6643  8 Cd 3.23-3.26
Cd  0.5000  0.5000  0.1750  4 Y 3.23, 4 Pm 3.33
Cd  0.5000  0.5000  0.5000  8 Y 3.26
Cd  0.5000  0.5000  0.8250  4 Y 3.23, 4 Pm 3.33

Values from the calculation:
M_tot in μB/cell: 0.61
DFT total energy in eV per atom: -3.744
Crystal system: tetragonal
ΔE_f in eV/atom: -0.339
Volume in Å³/f.u.: 162

=====

(4)
The following is a DFT calculation (GGA-PBE) of a geometry-optimized LaGaN3 structure.

Cell lengths 4.4448, 4.4448, 4.4448 Å; angles 90.00, 90.00, 90.00 degrees
Closest atoms and distances in Å follow each position.
Fractional positions:
La  0.0000  0.0000  0.0000  6 N 2.22
Ga  0.5000  0.5000  0.5000  12 N 3.14
N  0.0000  0.0000  0.5000  2 La 2.22
N  0.0000  0.5000  0.0000  2 La 2.22
N  0.5000  0.0000  0.0000  2 La 2.22

Values from the calculation:
M_tot in μB/cell: 2.54
DFT total energy in eV per atom: -5.170
Formation energy from raw total energies in eV per atom: 1.42
Crystal system: cubic
Volume in Å³/f.u.: 88